## TaTi2VCl (PBE)

Data for an optimized crystal structure of TaTi2VCl.

Structure (CIF):
```
data_TaTi2VCl
_chemical_formula_sum 'Ta1 Ti2 V1 Cl1'
_cell_length_a 5.0028
_cell_length_b 5.0028
_cell_length_c 4.6672
_cell_angle_alpha 90.00
_cell_angle_beta 90.00
_cell_angle_gamma 90.00
_symmetry_space_group_name_H-M 'P 4/m m m'
_symmetry_Int_Tables_number 123
_symmetry_space_group_name_Hall '-P 4 2'
loop_
_atom_site_label
_atom_site_fract_x
_atom_site_fract_y
_atom_site_fract_z
Ta1 0.0000 0.0000 0.0000
Ti1 0.0000 0.5000 0.0000
V1 0.0000 0.0000 0.5000
Cl1 0.5000 0.5000 0.5000
```

Properties
As for the total DFT energy (no corrections): -6.458 eV/atom. The calculation puts the uncorrected formation energy at 29.1 kcal/mol of atoms. For the spin magnetization, the calculation gives 2.4 μB per formula unit.

=====

## KMnIn2Cl5 (PBE)

Data for an optimized crystal structure of KMnIn2Cl5.

Structure (CIF):
```
data_KMnIn2Cl5
_chemical_formula_sum 'K4 Mn4 In8 Cl20'
_cell_length_a 4.2062
_cell_length_b 19.6045
_cell_length_c 14.0105
_cell_angle_alpha 90.00
_cell_angle_beta 90.00
_cell_angle_gamma 90.00
_symmetry_space_group_name_H-M 'C m c 21'
_symmetry_Int_Tables_number 36
loop_
_symmetry_equiv_pos_as_xyz
'x,y,z'
'-x,-y,z+1/2'
'-x,y,z'
'x,-y,z+1/2'
'x+1/2,y+1/2,z'
'-x+1/2,-y+1/2,z+1/2'
'-x+1/2,y+1/2,z'
'x+1/2,-y+1/2,z+1/2'
loop_
_atom_site_label
_atom_site_fract_x
_atom_site_fract_y
_atom_site_fract_z
K1 0.0000 0.1867 0.0000
Mn1 0.0000 0.4665 0.3713
In1 0.0000 0.1315 0.6262
In2 0.0000 0.1513 0.2978
Cl1 0.0000 0.0184 0.9599
Cl2 0.0000 0.2796 0.6546
Cl3 0.0000 0.3439 0.9762
Cl4 0.0000 0.3488 0.3414
Cl5 0.0000 0.4670 0.7361
```

Properties
As for the total DFT energy (no corrections): -3.920 eV/atom. The calculation puts the uncorrected formation energy at -26.4 kcal/mol of atoms. For the spin magnetization, the calculation gives 5.0 μB per formula unit.

=====

## BaPmHg (PBE)

Data for an optimized crystal structure of BaPmHg.

Structure (CIF):
```
data_BaPmHg
_chemical_formula_sum 'Ba2 Pm2 Hg2'
_cell_length_a 4.0177
_cell_length_b 4.0177
_cell_length_c 13.9648
_cell_angle_alpha 90.00
_cell_angle_beta 90.00
_cell_angle_gamma 90.00
_symmetry_space_group_name_H-M 'I 4 m m'
_symmetry_Int_Tables_number 107
_symmetry_space_group_name_Hall 'I 4 -2'
loop_
_atom_site_label
_atom_site_fract_x
_atom_site_fract_y
_atom_site_fract_z
Ba1 0.0000 0.0000 0.0000
Pm1 0.0000 0.0000 0.2739
Hg1 0.0000 0.0000 0.6719
```

Properties
As for the total DFT energy (no corrections): -2.587 eV/atom. As for the energy above the most stable polymorph in this dataset: 0 meV per atom. For the spin magnetization, the calculation gives 0.0 μB per formula unit. For the formation energy, the calculation gives -0.2624 eV per atom.

=====

## PrTm2Pd (PBE)

Data for an optimized crystal structure of PrTm2Pd.

Structure (CIF):
```
data_PrTm2Pd
_chemical_formula_sum 'Pr3 Tm6 Pd3'
_cell_length_a 3.7027
_cell_length_b 3.7027
_cell_length_c 29.1191
_cell_angle_alpha 90.00
_cell_angle_beta 90.00
_cell_angle_gamma 120.00
_symmetry_space_group_name_H-M 'R -3 m'
_symmetry_Int_Tables_number 166
_symmetry_space_group_name_Hall '-R 3 2"'
loop_
_atom_site_label
_atom_site_fract_x
_atom_site_fract_y
_atom_site_fract_z
Pr1 0.0000 0.0000 0.0000
Tm1 0.0000 0.0000 0.2298
Pd1 0.0000 0.0000 0.5000
```

Properties
As for the total DFT energy (no corrections): -5.049 eV/atom. As for the energy above the most stable polymorph in this dataset: 144 meV per atom. For the spin magnetization, the calculation gives 0.0 μB per formula unit. For the formation energy, the calculation gives -0.3197 eV per atom.

=====

## Cr3GeS (PBE)

Data for an optimized crystal structure of Cr3GeS.

Structure (CIF):
```
data_Cr3GeS
_chemical_formula_sum 'Cr3 Ge1 S1'
_cell_length_a 4.7500
_cell_length_b 4.7500
_cell_length_c 4.7500
_cell_angle_alpha 90.00
_cell_angle_beta 90.00
_cell_angle_gamma 90.00
_symmetry_space_group_name_H-M 'P m -3 m'
_symmetry_Int_Tables_number 221
_symmetry_space_group_name_Hall '-P 4 2 3'
loop_
_atom_site_label
_atom_site_fract_x
_atom_site_fract_y
_atom_site_fract_z
Cr1 0.0000 0.0000 0.5000
Ge1 0.0000 0.0000 0.0000
S1 0.5000 0.5000 0.5000
```

Properties
As for the total DFT energy (no corrections): -6.625 eV/atom. As for the energy above the most stable polymorph in this dataset: 500 meV per atom. The calculation puts the uncorrected formation energy at 20.7 kcal/mol of atoms. For the spin magnetization, the calculation gives 12.0 μB per formula unit.

=====

## Li4YTm3Se8 (PBE)

Data for an optimized crystal structure of Li4YTm3Se8.

Structure (CIF):
```
data_Li4YTm3Se8
_chemical_formula_sum 'Li12 Y3 Tm9 Se24'
_cell_length_a 8.0656
_cell_length_b 8.0656
_cell_length_c 19.4740
_cell_angle_alpha 90.00
_cell_angle_beta 90.00
_cell_angle_gamma 120.00
_symmetry_space_group_name_H-M 'R -3 m'
_symmetry_Int_Tables_number 166
_symmetry_space_group_name_Hall '-R 3 2"'
loop_
_atom_site_label
_atom_site_fract_x
_atom_site_fract_y
_atom_site_fract_z
Li1 0.0000 0.0000 0.0000
Li2 0.0000 0.5000 0.0000
Y1 0.0000 0.0000 0.5000
Tm1 0.0000 0.5000 0.5000
Se1 0.0000 0.0000 0.2500
Se2 0.0030 0.5015 0.7495
```

Properties
As for the total DFT energy (no corrections): -5.160 eV/atom. The calculation puts the uncorrected formation energy at -39.1 kcal/mol of atoms. For the spin magnetization, the calculation gives 0.0 μB per formula unit.